i:
Below is crystalline V4Cr2Os at its relaxed geometry, with properties calculated at the PBE level.

Cell: 10.490 10.490 2.958 Å, 90.00 90.00 163.43°
Fractional coordinates of all 7 atoms:
V 0.074 0.926 0.000
V 0.353 0.647 0.500
V 0.647 0.353 0.500
V 0.926 0.074 0.000
Cr 0.210 0.790 0.000
Cr 0.790 0.210 0.000
Os 0.500 0.500 0.500

---

ii:
Below is crystalline V4Cr2Os at its relaxed geometry, with properties calculated at the PBE level.

Cell: 6.903 6.903 6.903 Å, 141.42 141.42 55.70°
Fractional coordinates of all 7 atoms:
V 0.000 0.500 0.500
V 0.197 0.197 0.000
V 0.500 0.000 0.500
V 0.803 0.803 0.000
Cr 0.384 0.384 0.000
Cr 0.616 0.616 0.000
Os 0.000 0.000 0.000

---

Most stable: i

---

i:
Below is crystalline CrOsW2 at its relaxed geometry, with properties calculated at the PBE level.

Cell: 4.694 4.694 2.823 Å, 90.00 90.00 107.00°
Fractional coordinates of all 4 atoms:
Cr 0.000 0.000 0.000
Os 0.500 0.500 0.000
W 0.000 0.500 0.500
W 0.500 0.000 0.500

---

ii:
Below is crystalline CrOsW2 at its relaxed geometry, with properties calculated at the PBE level.

Cell: 2.722 4.328 5.114 Å, 90.00 100.93 90.00°
Fractional coordinates of all 4 atoms:
Cr 0.000 0.000 0.000
Os 0.716 0.500 0.259
W 0.206 0.500 0.773
W 0.442 0.000 0.502

---

iii:
Below is crystalline CrOsW2 at its relaxed geometry, with properties calculated at the PBE level.

Cell: 9.827 9.827 9.827 Å, 158.25 158.25 30.96°
Fractional coordinates of all 8 atoms:
Cr 0.000 0.000 0.000
Cr 0.750 0.250 0.500
Os 0.250 0.750 0.500
Os 0.500 0.500 0.000
W 0.119 0.625 0.994
W 0.375 0.369 0.494
W 0.631 0.125 0.006
W 0.875 0.881 0.506

---

iv:
Below is crystalline CrOsW2 at its relaxed geometry, with properties calculated at the PBE level.

Cell: 5.085 5.085 5.085 Å, 144.66 128.67 63.86°
Fractional coordinates of all 4 atoms:
Cr 0.000 0.000 0.000
Os 0.500 0.500 0.000
W 0.239 0.739 0.500
W 0.761 0.261 0.500

---

Most stable: iv

---

i:
Below is crystalline CrOsW2 at its relaxed geometry, with properties calculated at the PBE level.

Cell: 4.843 4.843 4.843 Å, 133.15 133.15 68.42°
Fractional coordinates of all 4 atoms:
Cr 0.000 0.000 0.000
Os 0.250 0.750 0.500
W 0.500 0.500 0.000
W 0.750 0.250 0.500

---

ii:
Below is crystalline CrOsW2 at its relaxed geometry, with properties calculated at the PBE level.

Cell: 4.384 4.384 4.384 Å, 60.00 60.00 60.00°
Fractional coordinates of all 4 atoms:
Cr 0.000 0.000 0.000
Os 0.250 0.250 0.250
W 0.500 0.500 0.500
W 0.750 0.750 0.750

---

Most stable: ii

---

i:
Below is crystalline CrOsW2 at its relaxed geometry, with properties calculated at the PBE level.

Cell: 2.729 4.278 5.145 Å, 90.00 100.67 90.00°
Fractional coordinates of all 4 atoms:
Cr 0.000 0.000 0.000
Os 0.500 0.000 0.500
W 0.225 0.500 0.756
W 0.775 0.500 0.244

---

ii:
Below is crystalline CrOsW2 at its relaxed geometry, with properties calculated at the PBE level.

Cell: 9.178 9.178 9.178 Å, 17.41 17.41 17.41°
Fractional coordinates of all 4 atoms:
Cr 0.000 0.000 0.000
Os 0.500 0.500 0.500
W 0.251 0.251 0.251
W 0.749 0.749 0.749

---

iii:
Below is crystalline CrOsW2 at its relaxed geometry, with properties calculated at the PBE level.

Cell: 2.737 3.889 5.589 Å, 90.00 90.00 90.00°
Fractional coordinates of all 4 atoms:
Cr 0.000 0.000 0.000
Os 0.500 0.500 0.232
W 0.000 0.000 0.482
W 0.500 0.500 0.758

---

iv:
Below is crystalline CrOsW2 at its relaxed geometry, with properties calculated at the PBE level.

Cell: 9.364 9.364 9.364 Å, 16.81 16.81 16.81°
Fractional coordinates of all 4 atoms:
Cr 0.000 0.000 0.000
Os 0.741 0.741 0.741
W 0.250 0.250 0.250
W 0.493 0.493 0.493

---

Most stable: i